First-principles (PBE) data for an optimized crystal structure of Sr4SmY3Te8, as listed in Alexandria.

Calculated values
**Total DFT energy (no corrections)**: -80.212 eV for the cell shown
**Crystal system**: trigonal
**M_tot**: 0.0 μB/cell

Unit cell a=9.002 b=9.178 c=9.001 alpha=119.37 beta=120.00 gamma=90.00
Fractional positions:
Sr  0.500  0.000  0.000
Sr  0.500  0.000  0.500
Sr  0.000  0.000  0.000
Sr  0.000  0.000  0.500
Sm  0.000  0.500  0.000
Y  0.500  0.500  0.000
Y  0.500  0.500  0.500
Y  0.000  0.500  0.500
Te  0.246  0.733  0.987
Te  0.246  0.733  0.492
Te  0.256  0.269  0.513
Te  0.741  0.733  0.987
Te  0.259  0.267  0.013
Te  0.744  0.731  0.487
Te  0.754  0.267  0.508
Te  0.754  0.267  0.013



First-principles (PBE) data for an optimized crystal structure of SrSm2Th, as listed in Alexandria.

Calculated values
**Total DFT energy (no corrections)**: -17.860 eV for the cell shown
**Polymorph energy (0 for the lowest one)**: 85 meV/atom
**Formation energy from the elements**: 170 meV per atom
**Crystal system**: trigonal
**M_tot**: 0.0 μB/cell

Unit cell a=3.654 b=3.654 c=13.010 alpha=81.93 beta=81.93 gamma=60.00
Fractional positions:
Sr  0.000  0.000  0.000
Sm  0.094  0.094  0.719
Sm  0.906  0.906  0.281
Th  0.500  0.500  0.500



First-principles (PBE) data for an optimized crystal structure of SrSm2Th, as listed in Alexandria.

Calculated values
**Total DFT energy (no corrections)**: -18.198 eV for the cell shown
**Polymorph energy (0 for the lowest one)**: 0 meV/atom
**Formation energy from the elements**: 85 meV per atom
**Crystal system**: tetragonal
**M_tot**: 0.0 μB/cell

Unit cell a=3.717 b=3.717 c=10.808 alpha=90.00 beta=90.00 gamma=90.00
Fractional positions:
Sr  0.500  0.500  0.500
Sm  0.000  0.000  0.783
Sm  0.000  0.000  0.217
Th  0.500  0.500  0.000



First-principles (PBE) data for an optimized crystal structure of SrSm2Tl, as listed in Alexandria.

Calculated values
**Total DFT energy (no corrections)**: -13.743 eV for the cell shown
**Polymorph energy (0 for the lowest one)**: 17 meV/atom
**Formation energy from the elements**: -64 meV per atom
**Crystal system**: tetragonal
**M_tot**: 0.0 μB/cell

Unit cell a=3.775 b=3.775 c=10.057 alpha=90.00 beta=90.00 gamma=90.00
Fractional positions:
Sr  0.500  0.500  0.500
Tl  0.500  0.500  0.000
Sm  0.000  0.000  0.802
Sm  0.000  0.000  0.198



Question: Which formula does entry 3 have?
Answer: SrSm2Th



Question: What is the formula in the first record?
Answer: Sr4SmY3Te8